Entry 1:
Here is crystalline Ca2LaPb at its relaxed geometry from the Alexandria database. Energies are from PBE-GGA.

## Properties
For the magnetic moment, the calculation gives 0.0 μB per formula unit. As for the total energy: -13.60 eV/cell.

abc: 3.814 5.328 6.995
angles: 90.00 102.40 90.00
Space group P2/m (No. 10)
Inequivalent atoms, fractional coordinates:
Ca 0.093 0.000 0.266 x2
La 0.500 0.500 0.000 x1
Pb 0.500 0.500 0.500 x1



Entry 2:
Here is crystalline Hf2BSbI at its relaxed geometry from the Alexandria database. Energies are from PBE-GGA.

## Properties
For the magnetic moment, the calculation gives 0.0 μB per formula unit. As for the total energy: -21.09 eV/cell.

abc: 5.217 5.217 5.775
angles: 90.00 90.00 90.00
Space group P4/mmm (No. 123)
Inequivalent atoms, fractional coordinates:
Hf 0.000 0.500 0.000 x2
B 0.000 0.000 0.500 x1
Sb 0.500 0.500 0.500 x1
I 0.500 0.500 0.000 x1